A relaxed Fe4O3F5 crystal. Source: the Alexandria database, functional PBE+U.

Cell: 4.7944 7.8360 7.8857 Å, 104.79 91.52 91.28°
With the nearest neighbours (Å) after each atom.
Element x y z (fractional)
Fe: 0.0000 0.0000 0.0000  2 O 2.03-2.04, 4 F 2.11-2.19
Fe: 0.0114 0.5000 0.5024  2 O 1.89-1.98, 4 F 2.04-2.10
Fe: 0.4476 0.6328 0.8844  3 O 1.91-2.02, 2 F 1.99-2.05
Fe: 0.4847 0.8618 0.6125  2 O 2.06-2.07, 4 F 2.14-2.23
Fe: 0.5250 0.1387 0.3908  2 O 1.86-1.95, 3 F 2.05-2.09
Fe: 0.5684 0.3678 0.1239  3 O 1.88-1.97, 1 F 2.07
Fe: 0.9479 0.2306 0.7529  2 O 1.88, 2 F 1.99-2.03
Fe: 0.9862 0.7347 0.2171  2 O 1.89-1.93, 4 F 2.06-2.10
O: 0.1822 0.7764 0.0265  3 Fe 1.89-2.03
O: 0.2977 0.6352 0.6493  3 Fe 1.89-2.06
O: 0.6806 0.5917 0.0863  3 Fe 1.92-2.02
O: 0.6869 0.0917 0.5909  3 Fe 1.86-2.07
O: 0.7150 0.3486 0.3533  3 Fe 1.95-1.98
O: 0.8008 0.2168 0.9678  3 Fe 1.88-2.04
F: 0.1911 0.0318 0.7651  3 Fe 1.99-2.16
F: 0.1933 0.2695 0.5283  3 Fe 2.08-2.23
F: 0.1963 0.5277 0.2725  2 Fe 2.06-2.10
F: 0.2778 0.9092 0.3814  3 Fe 2.10-2.17
F: 0.2890 0.3903 0.8950  3 Fe 2.05-2.26
F: 0.3150 0.1666 0.1657  3 Fe 2.07-2.15
F: 0.6887 0.8294 0.8463  3 Fe 1.99-2.14
F: 0.7776 0.9648 0.2289  3 Fe 2.05-2.19
F: 0.8075 0.4613 0.7176  2 Fe 2.03-2.07
F: 0.8246 0.7156 0.4553  3 Fe 2.04-2.23

## Properties
Density   4.25 g/cm³
Final energy   -5.8916 eV/atom
Volume   286 Å³ per cell
Space group   P1 (1)

A relaxed Fe3O5F crystal. Source: the Alexandria database, functional PBE+U.

Cell: 4.5624 5.4764 7.5019 Å, 85.96 88.51 87.33°
With the nearest neighbours (Å) after each atom.
Element x y z (fractional)
Fe: 0.0000 0.0000 0.0000  4 O 1.93, 2 F 1.97
Fe: 0.0018 0.3318 0.6680  6 O 1.93-2.09
Fe: 0.4908 0.8374 0.6588  5 O 1.86-1.93, 1 F 2.03
Fe: 0.5000 0.5000 0.0000  4 O 1.91-1.94, 2 F 2.05
Fe: 0.5092 0.1626 0.3412  5 O 1.86-1.93, 1 F 2.03
Fe: 0.9982 0.6682 0.3320  6 O 1.93-2.09
O: 0.1947 0.7025 0.0996  3 Fe 1.91-1.94
O: 0.2010 0.3686 0.4338  3 Fe 1.91-1.96
O: 0.2041 0.0404 0.7715  3 Fe 1.90-1.93
O: 0.3102 0.8790 0.4381  3 Fe 1.86-2.08
O: 0.3126 0.5504 0.7703  3 Fe 1.93-2.09
O: 0.6874 0.4496 0.2297  3 Fe 1.93-2.09
O: 0.6898 0.1210 0.5619  3 Fe 1.86-2.08
O: 0.7959 0.9596 0.2285  3 Fe 1.90-1.93
O: 0.7990 0.6314 0.5662  3 Fe 1.91-1.96
O: 0.8053 0.2975 0.9004  3 Fe 1.91-1.94
F: 0.2970 0.1939 0.1049  3 Fe 1.97-2.05
F: 0.7030 0.8061 0.8951  3 Fe 1.97-2.05

## Properties
Density   4.74 g/cm³
Final energy   -5.9407 eV/atom
Volume   187 Å³ per cell
Space group   P-1 (2)

A relaxed Fe3O5F crystal. Source: the Alexandria database, functional PBE+U.

Cell: 5.5093 5.5394 7.0832 Å, 73.36 72.89 74.63°
With the nearest neighbours (Å) after each atom.
Element x y z (fractional)
Fe: 0.0000 0.0000 0.0000  4 O 1.93-1.95, 2 F 2.04
Fe: 0.0000 0.0000 0.5000  6 O 1.95-2.04
Fe: 0.3061 0.3605 0.1659  5 O 1.95-1.98, 1 F 2.16
Fe: 0.3349 0.3458 0.6597  5 O 1.92-1.98, 1 F 2.11
Fe: 0.6651 0.6542 0.3403  5 O 1.92-1.98, 1 F 2.11
Fe: 0.6939 0.6395 0.8341  5 O 1.95-1.98, 1 F 2.16
O: 0.0110 0.6558 0.1651  3 Fe 1.93-1.98
O: 0.0940 0.1093 0.2032  3 Fe 1.95-1.96
O: 0.2247 0.2385 0.4611  3 Fe 1.95-1.97
O: 0.3108 0.7012 0.4938  3 Fe 1.92-2.04
O: 0.4367 0.4351 0.8718  3 Fe 1.95-1.97
O: 0.5633 0.5649 0.1282  3 Fe 1.95-1.97
O: 0.6892 0.2988 0.5062  3 Fe 1.92-2.04
O: 0.7753 0.7615 0.5389  3 Fe 1.95-1.97
O: 0.9060 0.8907 0.7968  3 Fe 1.95-1.96
O: 0.9890 0.3442 0.8349  3 Fe 1.93-1.98
F: 0.3743 0.9638 0.8324  3 Fe 2.04-2.16
F: 0.6257 0.0362 0.1676  3 Fe 2.04-2.16

## Properties
Density   4.56 g/cm³
Final energy   -6.1242 eV/atom
Volume   194 Å³ per cell
Space group   P-1 (2)

A relaxed FeOsO2F crystal. Source: the Alexandria database, functional PBE+U.

Cell: 3.6642 3.6642 6.7303 Å, 90.00 90.00 90.00°
With the nearest neighbours (Å) after each atom.
Element x y z (fractional)
Fe: 0.0000 0.0000 0.0000  4 F 2.59
Os: 0.5000 0.5000 0.5000  4 O 1.83
O: 0.0000 0.5000 0.5000  2 Os 1.83
O: 0.5000 0.0000 0.5000  2 Os 1.83
F: 0.5000 0.5000 0.0000  4 Fe 2.59

## Properties
Density   5.46 g/cm³
Final energy   -6.3127 eV/atom
Volume   90 Å³ per cell
Space group   P4/mmm (123)

A relaxed FeOsO2F crystal. Source: the Alexandria database, functional PBE+U.

Cell: 3.9688 3.9688 3.8673 Å, 90.00 90.00 90.00°
With the nearest neighbours (Å) after each atom.
Element x y z (fractional)
Fe: 0.0000 0.0000 0.0000  2 F 1.93, 4 O 1.98
Os: 0.5000 0.5000 0.5000  8 O 2.77, 4 F 2.81
O: 0.0000 0.5000 0.0000  2 Fe 1.98
O: 0.5000 0.0000 0.0000  2 Fe 1.98
F: 0.0000 0.0000 0.5000  2 Fe 1.93

## Properties
Density   8.10 g/cm³
Final energy   -5.7506 eV/atom
Volume   61 Å³ per cell
Space group   P4/mmm (123)

A relaxed FePO2F crystal. Source: the Alexandria database, functional PBE+U.

Cell: 3.5884 3.5884 5.2183 Å, 90.00 90.00 90.00°
With the nearest neighbours (Å) after each atom.
Element x y z (fractional)
Fe: 0.0000 0.0000 0.0000  4 O 1.79
P: 0.0000 0.0000 0.5000  4 F 2.54, 2 Fe 2.61
O: 0.0000 0.5000 0.0000  2 Fe 1.79
O: 0.5000 0.0000 0.0000  2 Fe 1.79
F: 0.5000 0.5000 0.5000  4 P 2.54

## Properties
Density   3.41 g/cm³
Final energy   -4.7702 eV/atom
Volume   67 Å³ per cell
Space group   P4/mmm (123)

A relaxed Fe2P3O9F3 crystal. Source: the Alexandria database, functional PBE+U.

Cell: 14.7153 14.7153 7.4855 Å, 90.00 90.00 120.00°
With the nearest neighbours (Å) after each atom.
Element x y z (fractional)
Fe: 0.0205 0.6732 0.0482  6 O 1.94-2.13
Fe: 0.0205 0.6732 0.4518  6 O 1.94-2.13
Fe: 0.3268 0.3473 0.0482  6 O 1.94-2.13
Fe: 0.3268 0.3473 0.4518  6 O 1.94-2.13
Fe: 0.3473 0.0205 0.5482  6 O 1.94-2.13
Fe: 0.3473 0.0205 0.9518  6 O 1.94-2.13
Fe: 0.6527 0.9795 0.0482  6 O 1.94-2.13
Fe: 0.6527 0.9795 0.4518  6 O 1.94-2.13
Fe: 0.6732 0.6527 0.5482  6 O 1.94-2.13
Fe: 0.6732 0.6527 0.9518  6 O 1.94-2.13
Fe: 0.9795 0.3268 0.5482  6 O 1.94-2.13
Fe: 0.9795 0.3268 0.9518  6 O 1.94-2.13
P: 0.1014 0.5633 0.7500  3 O 1.52-1.55, 1 F 1.56
P: 0.1117 0.8683 0.7500  3 O 1.52-1.55, 1 F 1.56
P: 0.1317 0.2433 0.7500  3 O 1.52-1.55, 1 F 1.56
P: 0.1750 0.4307 0.2500  3 O 1.52-1.55, 1 F 1.56
P: 0.2433 0.1117 0.2500  3 O 1.52-1.55, 1 F 1.56
P: 0.2558 0.8250 0.2500  3 O 1.52-1.55, 1 F 1.56
P: 0.4307 0.2558 0.7500  3 O 1.52-1.55, 1 F 1.56
P: 0.4367 0.5381 0.7500  3 O 1.52-1.55, 1 F 1.56
P: 0.4619 0.8986 0.7500  3 O 1.52-1.55, 1 F 1.56
P: 0.5381 0.1014 0.2500  3 O 1.52-1.55, 1 F 1.56
P: 0.5633 0.4619 0.2500  3 O 1.52-1.55, 1 F 1.56
P: 0.5693 0.7442 0.2500  3 O 1.52-1.55, 1 F 1.56
P: 0.7442 0.1750 0.7500  3 O 1.52-1.55, 1 F 1.56
P: 0.7567 0.8883 0.7500  3 O 1.52-1.55, 1 F 1.56
P: 0.8250 0.5693 0.7500  3 O 1.52-1.55, 1 F 1.56
P: 0.8683 0.7567 0.2500  3 O 1.52-1.55, 1 F 1.56
P: 0.8883 0.1317 0.2500  3 O 1.52-1.55, 1 F 1.56
P: 0.8986 0.4367 0.2500  3 O 1.52-1.55, 1 F 1.56
O: 0.0229 0.4436 0.7500  1 P 1.55
O: 0.0539 0.2851 0.7500  1 P 1.55
O: 0.0753 0.8051 0.5786  1 P 1.52
O: 0.0753 0.8051 0.9214  1 P 1.52
O: 0.0955 0.6155 0.5789  1 P 1.52
O: 0.0955 0.6155 0.9211  1 P 1.52
O: 0.1117 0.4028 0.0786  1 P 1.52
O: 0.1117 0.4028 0.4214  1 P 1.52
O: 0.1363 0.7459 0.2500  1 P 1.55
O: 0.1949 0.2702 0.5786  1 P 1.52
O: 0.1949 0.2702 0.9214  1 P 1.52
O: 0.2312 0.9461 0.7500  1 P 1.55
O: 0.2541 0.3904 0.2500  1 P 1.55
O: 0.2702 0.0753 0.0786  1 P 1.52
O: 0.2702 0.0753 0.4214  1 P 1.52
O: 0.2851 0.2312 0.2500  1 P 1.55
O: 0.2911 0.8883 0.0786  1 P 1.52
O: 0.2911 0.8883 0.4214  1 P 1.52
O: 0.3845 0.4800 0.5789  1 P 1.52
O: 0.3845 0.4800 0.9211  1 P 1.52
O: 0.3904 0.1363 0.7500  1 P 1.55
O: 0.4028 0.2911 0.5786  1 P 1.52
O: 0.4028 0.2911 0.9214  1 P 1.52
O: 0.4207 0.9771 0.7500  1 P 1.55
O: 0.4436 0.4207 0.2500  1 P 1.55
O: 0.4800 0.0955 0.0789  1 P 1.52
O: 0.4800 0.0955 0.4211  1 P 1.52
O: 0.5200 0.9045 0.5789  1 P 1.52
O: 0.5200 0.9045 0.9211  1 P 1.52
O: 0.5564 0.5793 0.7500  1 P 1.55
O: 0.5793 0.0229 0.2500  1 P 1.55
O: 0.5972 0.7089 0.0786  1 P 1.52
O: 0.5972 0.7089 0.4214  1 P 1.52
O: 0.6096 0.8637 0.2500  1 P 1.55
O: 0.6155 0.5200 0.0789  1 P 1.52
O: 0.6155 0.5200 0.4211  1 P 1.52
O: 0.7089 0.1117 0.5786  1 P 1.52
O: 0.7089 0.1117 0.9214  1 P 1.52
O: 0.7149 0.7688 0.7500  1 P 1.55
O: 0.7298 0.9247 0.5786  1 P 1.52
O: 0.7298 0.9247 0.9214  1 P 1.52
O: 0.7459 0.6096 0.7500  1 P 1.55
O: 0.7688 0.0539 0.2500  1 P 1.55
O: 0.8051 0.7298 0.0786  1 P 1.52
O: 0.8051 0.7298 0.4214  1 P 1.52
O: 0.8637 0.2541 0.7500  1 P 1.55
O: 0.8883 0.5972 0.5786  1 P 1.52
O: 0.8883 0.5972 0.9214  1 P 1.52
O: 0.9045 0.3845 0.0789  1 P 1.52
O: 0.9045 0.3845 0.4211  1 P 1.52
O: 0.9247 0.1949 0.0786  1 P 1.52
O: 0.9247 0.1949 0.4214  1 P 1.52
O: 0.9461 0.7149 0.2500  1 P 1.55
O: 0.9771 0.5564 0.2500  1 P 1.55
F: 0.0609 0.1215 0.7500  1 P 1.56
F: 0.0607 0.9391 0.7500  1 P 1.56
F: 0.1215 0.0607 0.2500  1 P 1.56
F: 0.2122 0.5737 0.7500  1 P 1.56
F: 0.2435 0.5525 0.2500  1 P 1.56
F: 0.3090 0.7565 0.2500  1 P 1.56
F: 0.3614 0.7878 0.7500  1 P 1.56
F: 0.4263 0.6386 0.7500  1 P 1.56
F: 0.4475 0.6909 0.2500  1 P 1.56
F: 0.5525 0.3090 0.7500  1 P 1.56
F: 0.5737 0.3614 0.2500  1 P 1.56
F: 0.6386 0.2122 0.2500  1 P 1.56
F: 0.6909 0.2435 0.7500  1 P 1.56
F: 0.7565 0.4475 0.7500  1 P 1.56
F: 0.7878 0.4263 0.2500  1 P 1.56
F: 0.8785 0.9393 0.7500  1 P 1.56
F: 0.9393 0.0609 0.2500  1 P 1.56
F: 0.9391 0.8785 0.2500  1 P 1.56

## Properties
Density   2.88 g/cm³
Final energy   -6.7333 eV/atom
Volume   1404 Å³ per cell
Space group   P6_3/m (176)

A relaxed FePO2F crystal. Source: the Alexandria database, functional PBE+U.

Cell: 4.3866 4.3866 3.3677 Å, 90.00 90.00 90.00°
With the nearest neighbours (Å) after each atom.
Element x y z (fractional)
Fe: 0.0000 0.0000 0.0000  8 O 2.77
P: 0.5000 0.5000 0.0000  2 F 1.68
O: 0.0000 0.5000 0.5000  2 F 2.19
O: 0.5000 0.0000 0.5000  2 F 2.19
F: 0.5000 0.5000 0.5000  2 P 1.68

## Properties
Density   3.53 g/cm³
Final energy   -3.9592 eV/atom
Volume   65 Å³ per cell
Space group   P4/mmm (123)

A relaxed FePO2F crystal. Source: the Alexandria database, functional PBE+U.

Cell: 3.9636 3.9636 3.8186 Å, 90.00 90.00 90.00°
With the nearest neighbours (Å) after each atom.
Element x y z (fractional)
Fe: 0.0000 0.0000 0.0000  2 F 1.91, 4 O 1.98
P: 0.5000 0.5000 0.5000  8 O 2.75, 4 F 2.80
O: 0.0000 0.5000 0.0000  2 Fe 1.98
O: 0.5000 0.0000 0.0000  2 Fe 1.98
F: 0.0000 0.0000 0.5000  2 Fe 1.91

## Properties
Density   3.81 g/cm³
Final energy   -5.0873 eV/atom
Volume   60 Å³ per cell
Space group   P4/mmm (123)